[1]
TbSmCo2B2N2 | PBE-GGA | relaxed

Cell lengths 3.534, 3.534, 7.457 Å; angles 90.00, 90.00, 90.00 degrees
Element x y z (fractional)
1 B 0.500 0.500 0.353
2 B 0.000 0.000 0.646
3 Co 0.500 0.000 0.501
4 Co 0.000 0.500 0.501
5 N 0.500 0.500 0.150
6 N 0.000 0.000 0.848
7 Sm 0.000 0.000 0.171
8 Tb 0.500 0.500 0.830

Calculated total energy = -7.74 eV per atom

=====

[2]
ScFeSiOs | PBE-GGA | relaxed

Cell lengths 4.372, 4.372, 4.372 Å; angles 60.00, 60.00, 60.00 degrees
Element x y z (fractional)
1 Fe 0.750 0.750 0.750
2 Os 0.500 0.500 0.500
3 Sc 0.250 0.250 0.250
4 Si 0.000 0.000 0.000

Calculated total energy = -7.83 eV per atom
Energy relative to the lowest polymorph listed for this composition = 336.5 meV per atom

=====

[3]
Dy2ZnInNi | PBE-GGA | relaxed

Cell lengths 3.681, 7.326, 7.326 Å; angles 32.96, 90.00, 90.00 degrees
Element x y z (fractional)
1 Dy 0.500 0.368 0.368
2 Dy 0.500 0.635 0.635
3 In 0.000 0.996 0.996
4 Ni 0.000 0.798 0.798
5 Zn 0.000 0.203 0.203

Calculated total energy = -4.23 eV per atom

=====

Q: calculated total energy of number 1 (TbSmCo2B2N2)?
A: -7.74 eV per atom

=====

Q: Which formula does entry 2 have?
A: ScFeSiOs

=====

Copy entry 3 word for word.
Dy2ZnInNi | PBE-GGA | relaxed

Cell lengths 3.681, 7.326, 7.326 Å; angles 32.96, 90.00, 90.00 degrees
Element x y z (fractional)
1 Dy 0.500 0.368 0.368
2 Dy 0.500 0.635 0.635
3 In 0.000 0.996 0.996
4 Ni 0.000 0.798 0.798
5 Zn 0.000 0.203 0.203

Calculated total energy = -4.23 eV per atom